[1]
Crystalline KTcW2 at its relaxed geometry, computed with PBE-GGA.

Structure (CIF):
```
data_KTcW2
_chemical_formula_sum 'K1 Tc1 W2'
_space_group_name_H-M_alt 'P 1 m 1'
_space_group_IT_number 6
_cell_length_a 2.794
_cell_length_b 4.307
_cell_length_c 7.707
_cell_angle_alpha 90.00
_cell_angle_beta 95.41
_cell_angle_gamma 90.00
loop_
_space_group_symop_operation_xyz
'x,y,z'
'x,-y,z'
loop_
_atom_site_label
_atom_site_type_symbol
_atom_site_fract_x
_atom_site_fract_y
_atom_site_fract_z
K1 K 0.000 0.000 0.000
Tc1 Tc 0.842 0.500 0.348
W1 W 0.162 0.500 0.644
W2 W 0.505 0.000 0.487
```

## Properties
Electronic total energy, eV/cell: -33.658
E_form, meV per atom: 928
ρ, Mg/m³: 9.08
Energy above the lowest structure with this stoichiometry, meV/atom: 170.3



[2]
Crystalline Ni2ICl at its relaxed geometry, computed with PBE-GGA.

Structure (CIF):
```
data_Ni2ICl
_chemical_formula_sum 'Ni8 I4 Cl4'
_space_group_name_H-M_alt 'F m -3 m'
_space_group_IT_number 225
_space_group_name_Hall '-F 4 2 3'
_cell_length_a 6.572
_cell_length_b 6.572
_cell_length_c 6.572
_cell_angle_alpha 90.00
_cell_angle_beta 90.00
_cell_angle_gamma 90.00
loop_
_atom_site_label
_atom_site_type_symbol
_atom_site_fract_x
_atom_site_fract_y
_atom_site_fract_z
Ni1 Ni 0.250 0.250 0.250
I1 I 0.000 0.000 0.000
Cl1 Cl 0.000 0.000 0.500
```

## Properties
Electronic total energy, eV/cell: -51.266
ρ, Mg/m³: 6.55
Energy above the lowest structure with this stoichiometry, meV/atom: 469.6



[3]
Crystalline Pa4OsCS2 at its relaxed geometry, computed with PBE-GGA.

Structure (CIF):
```
data_Pa4OsCS2
_chemical_formula_sum 'Pa4 Os1 C1 S2'
_space_group_name_H-M_alt 'P 1 2/m 1'
_space_group_IT_number 10
_cell_length_a 6.692
_cell_length_b 3.759
_cell_length_c 6.838
_cell_angle_alpha 90.00
_cell_angle_beta 107.16
_cell_angle_gamma 90.00
loop_
_space_group_symop_operation_xyz
'x,y,z'
'-x,-y,-z'
'-x,y,-z'
'x,-y,z'
loop_
_atom_site_label
_atom_site_type_symbol
_atom_site_fract_x
_atom_site_fract_y
_atom_site_fract_z
Pa1 Pa 0.226 0.000 0.223
Pa2 Pa 0.235 0.500 0.763
Os1 Os 0.500 0.000 0.000
C1 C 0.000 0.500 0.000
S1 S 0.000 0.000 0.500
S2 S 0.500 0.500 0.500
```

## Properties
Electronic total energy, eV/cell: -74.091
ρ, Mg/m³: 12.03



Question: Which of these has the highest electronic total energy?
Answer: KTcW2